Here is a geometry-optimized LiFe2C2O7 structure from Alexandria via LeMat-Bulk. Energies are from PBE+U.

Cell lengths 4.862, 4.862, 16.095 Å; angles 88.95, 88.95, 119.69 degrees
Each line ends with the local moment (μB).
Sites, in units of the cell vectors:
Li: 0.000 0.995 0.517  0.00
C: 0.659 0.322 0.582  0.01
C: 0.322 0.659 0.082  0.01
Fe: 0.648 0.317 0.137  3.78
O: 0.916 0.596 0.581  0.02
O: 0.066 0.679 0.082  0.03
O: 0.685 0.611 0.912  0.07
O: 0.330 0.937 0.414  0.07
O: 0.406 0.080 0.912  0.07
O: 0.611 0.685 0.412  0.07
Fe: 0.344 0.678 0.865  4.22
Fe: 0.678 0.344 0.365  4.22
O: 0.679 0.066 0.582  0.03
Li: 0.995 0.000 0.017  0.00
C: 0.676 0.340 0.912  0.01
O: 0.937 0.330 0.914  0.07
O: 0.596 0.916 0.081  0.02
Fe: 0.317 0.648 0.637  3.78
C: 0.340 0.676 0.412  0.01
O: 0.080 0.406 0.412  0.07
O: 0.384 0.305 0.581  0.02
O: 0.351 0.688 0.756  0.37
O: 0.305 0.384 0.081  0.02
O: 0.688 0.351 0.256  0.37

Summary:
* electronic total energy: -7.00 eV per atom